Entry 1:
# Tb3Pr5

A relaxed structure of Tb3Pr5 (PBE, Alexandria).

a b c (Å): 3.667 3.667 20.634
angles (deg): 90.00 90.00 90.00
Fractional positions:
Tb 0.000 0.000 0.500
Tb 0.500 0.500 0.877
Tb 0.500 0.500 0.123
Pr 0.500 0.500 0.376
Pr 0.000 0.000 0.000
Pr 0.000 0.000 0.753
Pr 0.500 0.500 0.624
Pr 0.000 0.000 0.247

Final energy (eV per atom): -4.703
Size of the total moment (μB/f.u.): 0.00
Relative energy among the computed polymorphs (meV per atom): 3
Energy of formation from the pure elements (eV/atom): 0.02
SG: No. 123



Entry 2:
# LiCrFe

A relaxed structure of LiCrFe (PBE, Alexandria).

a b c (Å): 2.416 4.836 6.174
angles (deg): 95.71 102.28 99.10
Each line ends with the local moment (μB).
Fractional positions:
Cr 0.767 0.758 0.504  -0.45
Cr 0.233 0.242 0.496  -0.45
Li 0.717 0.073 0.846  -0.04
Li 0.283 0.927 0.154  -0.04
Fe 0.786 0.456 0.184  1.64
Fe 0.214 0.544 0.816  1.64

Final energy (eV per atom): -6.373
Size of the total moment (μB/f.u.): 1.07
Relative energy among the computed polymorphs (meV per atom): 147
Energy of formation from the pure elements (eV/atom): 0.29
SG: No. 2



Entry 3:
# LaSm2Y2Tm

A relaxed structure of LaSm2Y2Tm (PBE, Alexandria).

a b c (Å): 3.424 6.601 17.919
angles (deg): 90.00 90.00 90.00
Fractional positions:
Sm 0.000 0.716 0.147
Sm 0.500 0.784 0.647
Sm 0.500 0.216 0.353
Sm 0.000 0.284 0.853
Y 0.000 0.780 0.815
Y 0.500 0.280 0.685
Y 0.000 0.220 0.185
Y 0.500 0.720 0.315
Tm 0.000 0.000 0.500
Tm 0.500 0.500 0.000
La 0.500 0.500 0.500
La 0.000 0.000 0.000

Final energy (eV per atom): -5.040
Size of the total moment (μB/f.u.): 0.00
Energy of formation from the pure elements (eV/atom): 0.25
SG: No. 58



Entry 4:
# Na2CaAs2

A relaxed structure of Na2CaAs2 (PBE, Alexandria).

a b c (Å): 8.314 8.314 3.296
angles (deg): 90.00 90.00 90.00
Fractional positions:
As 0.814 0.314 0.500
As 0.186 0.686 0.500
As 0.314 0.186 0.500
As 0.686 0.814 0.500
Na 0.614 0.114 0.000
Na 0.114 0.386 0.000
Na 0.386 0.886 0.000
Na 0.886 0.614 0.000
Ca 0.000 0.000 0.000
Ca 0.500 0.500 0.000

Final energy (eV per atom): -3.207
Size of the total moment (μB/f.u.): 0.00
Relative energy among the computed polymorphs (meV per atom): 112
Energy of formation from the pure elements (eV/atom): -0.42
SG: No. 127



Entry 5:
# TlRuPt2

A relaxed structure of TlRuPt2 (PBE, Alexandria).

a b c (Å): 3.678 2.824 7.102
angles (deg): 74.60 90.00 90.00
Fractional positions:
Pt 0.000 0.882 0.043
Pt 0.000 0.618 0.457
Ru 0.500 0.250 0.250
Tl 0.500 0.750 0.750

Final energy (eV per atom): -5.707
Size of the total moment (μB/f.u.): 0.00
Relative energy among the computed polymorphs (meV per atom): 1
Energy of formation from the pure elements (eV/atom): 0.22
SG: No. 10



Entry 6:
# CsCd2GaTe4

A relaxed structure of CsCd2GaTe4 (PBE, Alexandria).

a b c (Å): 7.370 7.494 7.494
angles (deg): 81.09 60.55 60.55
Fractional positions:
Ga 0.000 0.500 0.500
Te 0.982 0.468 0.162
Te 0.388 0.162 0.468
Te 0.612 0.532 0.838
Te 0.018 0.838 0.532
Cd 0.500 0.684 0.316
Cd 0.500 0.316 0.684
Cs 0.000 0.000 0.000

Final energy (eV per atom): -2.770
Size of the total moment (μB/f.u.): 0.00
ΔE_f (raw) (eV/atom): -0.486
SG: No. 23



Entry 7:
# PaB2W

A relaxed structure of PaB2W (PBE, Alexandria).

a b c (Å): 3.307 3.307 6.220
angles (deg): 74.58 74.58 60.00
Fractional positions:
W 0.000 0.000 0.000
Pa 0.500 0.500 0.500
B 0.736 0.736 0.793
B 0.264 0.264 0.207

Final energy (eV per atom): -9.126
Size of the total moment (μB/f.u.): 0.00
Relative energy among the computed polymorphs (meV per atom): 97
Energy of formation from the pure elements (eV/atom): -0.17
SG: No. 166



Entry 8:
# Tl2BiPd2

A relaxed structure of Tl2BiPd2 (PBE, Alexandria).

a b c (Å): 7.895 7.895 3.595
angles (deg): 90.00 90.00 90.00
Fractional positions:
Pd 0.137 0.363 0.000
Pd 0.637 0.137 0.000
Pd 0.863 0.637 0.000
Pd 0.363 0.863 0.000
Tl 0.160 0.660 0.500
Tl 0.340 0.160 0.500
Tl 0.840 0.340 0.500
Tl 0.660 0.840 0.500
Bi 0.500 0.500 0.000
Bi 0.000 0.000 0.000

Final energy (eV per atom): -3.896
Size of the total moment (μB/f.u.): 0.00
Relative energy among the computed polymorphs (meV per atom): 13
Energy of formation from the pure elements (eV/atom): -0.10
SG: No. 127



Entry 9:
# LaTmOs

A relaxed structure of LaTmOs (PBE, Alexandria).

a b c (Å): 4.854 4.854 4.854
angles (deg): 60.00 60.00 60.00
Fractional positions:
Tm 0.500 0.500 0.500
La 0.000 0.000 0.000
Os 0.250 0.250 0.250

Final energy (eV per atom): -7.040
Size of the total moment (μB/f.u.): 0.00
Relative energy among the computed polymorphs (meV per atom): 10
Energy of formation from the pure elements (eV/atom): -0.16
SG: No. 216



Entry 10:
# LaErH

A relaxed structure of LaErH (PBE, Alexandria).

a b c (Å): 3.659 3.659 5.881
angles (deg): 90.00 90.00 120.00
Fractional positions:
La 0.000 0.000 0.082
Er 0.333 0.667 0.565
H 0.667 0.333 0.352

Final energy (eV per atom): -4.491
Size of the total moment (μB/f.u.): 0.00
Relative energy among the computed polymorphs (meV per atom): 15
SG: No. 156



Entry 11:
# TmNi2C

A relaxed structure of TmNi2C (PBE, Alexandria).

a b c (Å): 3.525 3.525 5.250
angles (deg): 70.39 70.39 60.00
Fractional positions:
Ni 0.704 0.704 0.888
Ni 0.296 0.296 0.112
Tm 0.500 0.500 0.500
C 0.000 0.000 0.000

Final energy (eV per atom): -6.166
Size of the total moment (μB/f.u.): 0.00
Relative energy among the computed polymorphs (meV per atom): 267
Energy of formation from the pure elements (eV/atom): 0.15
SG: No. 166



Entry 12:
# TbPmTmZn

A relaxed structure of TbPmTmZn (PBE, Alexandria).

a b c (Å): 3.569 3.569 8.676
angles (deg): 90.00 90.00 90.00
Fractional positions:
Tm 0.500 0.500 0.369
Tb 0.500 0.500 0.775
Pm 0.000 0.000 0.075
Zn 0.000 0.000 0.565

Final energy (eV per atom): -3.945
Size of the total moment (μB/f.u.): 0.00
Relative energy among the computed polymorphs (meV per atom): 0
Energy of formation from the pure elements (eV/atom): -0.16
SG: No. 99



Entry 13:
# La2Pr6SmTm

A relaxed structure of La2Pr6SmTm (PBE, Alexandria).

a b c (Å): 10.153 8.988 8.988
angles (deg): 117.74 95.15 95.15
Fractional positions:
La 0.958 0.709 0.805
La 0.542 0.195 0.291
La 0.042 0.291 0.195
La 0.458 0.805 0.709
Pr 0.120 0.702 0.498
Pr 0.690 0.015 0.578
Pr 0.445 0.258 0.879
Pr 0.945 0.879 0.258
Pr 0.810 0.422 0.985
Pr 0.380 0.502 0.298
Pr 0.620 0.498 0.702
Pr 0.880 0.298 0.502
Pr 0.555 0.742 0.121
Pr 0.310 0.985 0.422
Pr 0.190 0.578 0.015
Pr 0.055 0.121 0.742
Sm 0.750 0.013 0.987
Sm 0.250 0.987 0.013
Tm 0.750 0.594 0.406
Tm 0.250 0.406 0.594

Final energy (eV per atom): -4.664
Size of the total moment (μB/f.u.): 0.00
Energy of formation from the pure elements (eV/atom): 0.11
SG: No. 15



Entry 14:
# Dy2Er3Tm6Hf

A relaxed structure of Dy2Er3Tm6Hf (PBE, Alexandria).

a b c (Å): 6.002 6.002 11.480
angles (deg): 94.99 94.99 119.91
Fractional positions:
Hf 0.000 0.000 0.000
Tm 0.244 0.244 0.755
Tm 0.592 0.918 0.755
Tm 0.408 0.082 0.245
Tm 0.918 0.592 0.755
Tm 0.082 0.408 0.245
Tm 0.756 0.756 0.245
Er 0.833 0.167 0.500
Er 0.500 0.500 0.500
Er 0.167 0.833 0.500
Dy 0.333 0.667 0.000
Dy 0.667 0.333 0.000

Final energy (eV per atom): -4.912
Size of the total moment (μB/f.u.): 0.00
Energy of formation from the pure elements (eV/atom): 0.06
SG: No. 12



Entry 15:
# Li2PbF

A relaxed structure of Li2PbF (PBE, Alexandria).

a b c (Å): 5.955 5.955 5.900
angles (deg): 59.69 59.69 90.00
Fractional positions:
F 0.250 0.750 0.500
F 0.500 0.500 0.000
Li 0.440 0.125 0.250
Li 0.375 0.560 0.750
Li 0.875 0.690 0.750
Li 0.310 0.625 0.250
Pb 0.000 0.000 0.000
Pb 0.750 0.250 0.500

Final energy (eV per atom): -3.819
Size of the total moment (μB/f.u.): 0.00
Relative energy among the computed polymorphs (meV per atom): 0
ΔE_f (raw) (eV/atom): -1.467
SG: No. 122



Entry 16:
# TbPr4Hg3

A relaxed structure of TbPr4Hg3 (PBE, Alexandria).

a b c (Å): 5.800 7.221 11.223
angles (deg): 90.00 90.00 90.00
Fractional positions:
Hg 0.378 0.500 0.250
Hg 0.000 0.000 0.500
Hg 0.622 0.500 0.750
Hg 0.604 0.000 0.750
Hg 0.396 0.000 0.250
Hg 0.000 0.000 0.000
Pr 0.500 0.756 0.000
Pr 0.097 0.760 0.750
Pr 0.097 0.240 0.750
Pr 0.500 0.244 0.000
Pr 0.903 0.240 0.250
Pr 0.500 0.756 0.500
Pr 0.903 0.760 0.250
Pr 0.500 0.244 0.500
Tb 0.000 0.500 0.000
Tb 0.000 0.500 0.500

Final energy (eV per atom): -3.365
Size of the total moment (μB/f.u.): 0.00
Energy of formation from the pure elements (eV/atom): -0.28
SG: No. 51



Entry 17:
# HgTe2P

A relaxed structure of HgTe2P (PBE, Alexandria).

a b c (Å): 5.977 5.977 8.645
angles (deg): 69.78 69.78 90.00
Fractional positions:
Hg 0.750 0.250 0.500
Hg 0.000 0.000 0.000
Te 0.875 0.828 0.750
Te 0.172 0.625 0.250
Te 0.578 0.125 0.250
Te 0.375 0.422 0.750
P 0.250 0.750 0.500
P 0.500 0.500 0.000

Final energy (eV per atom): -2.756
Size of the total moment (μB/f.u.): 0.00
Relative energy among the computed polymorphs (meV per atom): 117
ΔE_f (raw) (eV/atom): 0.243
SG: No. 122



Entry 18:
# CrCu2Au

A relaxed structure of CrCu2Au (PBE, Alexandria).

a b c (Å): 4.674 4.674 4.581
angles (deg): 77.63 77.63 36.65
Each line ends with the local moment (μB).
Fractional positions:
Cu 0.502 0.502 0.490  0.08
Cu 0.998 0.998 0.010  0.08
Cr 0.250 0.250 0.250  3.33
Au 0.750 0.750 0.750  0.07

Final energy (eV per atom): -5.085
Size of the total moment (μB/f.u.): 3.81
Energy of formation from the pure elements (eV/atom): 0.19
SG: No. 12



Entry 19:
# Zr5Tl3

A relaxed structure of Zr5Tl3 (PBE, Alexandria).

a b c (Å): 8.590 8.590 5.880
angles (deg): 90.00 90.00 120.00
Fractional positions:
Zr 0.000 0.234 0.250
Zr 0.667 0.333 0.500
Zr 0.234 0.000 0.250
Zr 0.234 0.234 0.750
Zr 0.000 0.766 0.750
Zr 0.766 0.000 0.750
Zr 0.333 0.667 0.000
Zr 0.333 0.667 0.500
Zr 0.667 0.333 0.000
Zr 0.766 0.766 0.250
Tl 0.000 0.394 0.750
Tl 0.606 0.000 0.250
Tl 0.000 0.606 0.250
Tl 0.394 0.000 0.750
Tl 0.394 0.394 0.250
Tl 0.606 0.606 0.750

Final energy (eV per atom): -6.302
Size of the total moment (μB/f.u.): 0.00
Relative energy among the computed polymorphs (meV per atom): 9
Energy of formation from the pure elements (eV/atom): -0.07
SG: No. 193



Entry 20:
# La5Co3

A relaxed structure of La5Co3 (PBE, Alexandria).

a b c (Å): 7.903 7.903 12.839
angles (deg): 90.00 90.00 90.00
Fractional positions:
La 0.368 0.696 0.613
La 0.132 0.804 0.387
La 0.696 0.368 0.887
La 0.304 0.632 0.887
La 0.696 0.632 0.387
La 0.132 0.196 0.887
La 0.196 0.868 0.113
La 0.500 0.000 0.314
La 0.868 0.804 0.887
La 0.500 0.000 0.814
La 0.804 0.868 0.613
La 0.632 0.304 0.613
La 0.632 0.696 0.113
La 0.868 0.196 0.387
La 0.804 0.132 0.113
La 0.304 0.368 0.387
La 0.368 0.304 0.113
La 0.000 0.500 0.186
La 0.196 0.132 0.613
La 0.000 0.500 0.686
Co 0.378 0.378 0.750
Co 0.622 0.378 0.250
Co 0.500 0.000 0.515
Co 0.000 0.500 0.485
Co 0.878 0.878 0.250
Co 0.122 0.122 0.250
Co 0.500 0.000 0.015
Co 0.122 0.878 0.750
Co 0.878 0.122 0.750
Co 0.000 0.500 0.985
Co 0.622 0.622 0.750
Co 0.378 0.622 0.250

Final energy (eV per atom): -5.818
Size of the total moment (μB/f.u.): 0.00
Relative energy among the computed polymorphs (meV per atom): 40
Energy of formation from the pure elements (eV/atom): -0.07
SG: No. 130